(1)
! CdBi2SbO6 PBE relaxed; values from VASP
! **Spin magnetization**: 0.000 μB/f.u.
! **DFT total energy**: -5.4138 eV per atom
! **DOS at the Fermi energy**: 3.6 states/eV per cell
! **Space-group type**: No. 146
! **Raw formation energy**: -1.159 eV/atom
&SYSTEM
  ibrav = 0, nat = 10, ntyp = 4
/
ATOMIC_SPECIES
Cd 112.41 Cd.upf
Bi 208.98 Bi.upf
Sb 121.76 Sb.upf
O 16.00 O.upf
CELL_PARAMETERS angstrom
-0.512 2.692 -5.322
-4.899 -0.860 -3.331
-3.996 4.554 -0.678
ATOMIC_POSITIONS crystal
Cd 0.802 0.802 0.595
Bi 0.526 0.526 0.422
Bi 0.022 0.022 0.935
Sb 0.315 0.315 0.055
O 0.604 0.181 0.242
O 0.181 0.972 0.242
O 0.972 0.604 0.242
O 0.443 0.662 0.760
O 0.662 0.135 0.760
O 0.135 0.443 0.760

(2)
! Sc2CdBiO6 PBE relaxed; values from VASP
! **Spin magnetization**: 0.886 μB/f.u.
! **DFT total energy**: -6.9507 eV per atom
! **DOS at the Fermi energy**: 2.8 states/eV per cell
! **Space-group type**: No. 146
! **Raw formation energy**: -2.230 eV/atom
&SYSTEM
  ibrav = 0, nat = 10, ntyp = 4
/
ATOMIC_SPECIES
Sc 44.96 Sc.upf
Cd 112.41 Cd.upf
Bi 208.98 Bi.upf
O 16.00 O.upf
CELL_PARAMETERS angstrom
5.616 0.000 0.000
2.808 4.864 0.000
2.808 1.621 4.912
ATOMIC_POSITIONS crystal
Sc 0.520 0.520 0.440
Sc 0.019 0.019 0.943
Cd 0.796 0.796 0.611
Bi 0.307 0.307 0.079
O 0.644 0.239 0.234
O 0.239 0.883 0.234
O 0.883 0.644 0.234
O 0.375 0.726 0.746
O 0.726 0.152 0.746
O 0.152 0.375 0.746

(3)
! ScCdBi2O6 PBE relaxed; values from VASP
! **Spin magnetization**: 0.855 μB/f.u.
! **DFT total energy**: -6.1391 eV per atom
! **DOS at the Fermi energy**: 3.6 states/eV per cell
! **Space-group type**: No. 146
! **Raw formation energy**: -1.663 eV/atom
&SYSTEM
  ibrav = 0, nat = 10, ntyp = 4
/
ATOMIC_SPECIES
Sc 44.96 Sc.upf
Cd 112.41 Cd.upf
Bi 208.98 Bi.upf
O 16.00 O.upf
CELL_PARAMETERS angstrom
5.794 0.000 0.000
2.897 5.017 0.000
2.897 1.673 5.092
ATOMIC_POSITIONS crystal
Sc 0.313 0.313 0.061
Cd 0.803 0.803 0.591
Bi 0.526 0.526 0.421
Bi 0.019 0.019 0.944
O 0.602 0.195 0.239
O 0.195 0.963 0.239
O 0.963 0.602 0.239
O 0.413 0.694 0.760
O 0.694 0.134 0.760
O 0.134 0.413 0.760

(4)
! Sm2CdBiO6 PBE relaxed; values from VASP
! **Spin magnetization**: 0.004 μB/f.u.
! **DFT total energy**: -6.5860 eV per atom
! **DOS at the Fermi energy**: 4.3 states/eV per cell
! **Space-group type**: No. 146
! **Raw formation energy**: -2.188 eV/atom
&SYSTEM
  ibrav = 0, nat = 10, ntyp = 4
/
ATOMIC_SPECIES
Sm 150.36 Sm.upf
Cd 112.41 Cd.upf
Bi 208.98 Bi.upf
O 16.00 O.upf
CELL_PARAMETERS angstrom
-2.499 4.363 3.145
-5.232 2.237 -1.669
-5.010 -1.305 3.422
ATOMIC_POSITIONS crystal
Sm 0.526 0.526 0.421
Sm 0.026 0.026 0.923
Cd 0.805 0.805 0.586
Bi 0.312 0.312 0.064
O 0.613 0.207 0.250
O 0.207 0.931 0.250
O 0.931 0.613 0.250
O 0.417 0.698 0.758
O 0.698 0.127 0.758
O 0.127 0.417 0.758

(5)
! CdSnBi2O6 PBE relaxed; values from VASP
! **Spin magnetization**: 0.000 μB/f.u.
! **DFT total energy**: -5.5534 eV per atom
! **DOS at the Fermi energy**: 0.0 states/eV per cell
! **Space-group type**: No. 146
! **Raw formation energy**: -1.310 eV/atom
&SYSTEM
  ibrav = 0, nat = 10, ntyp = 4
/
ATOMIC_SPECIES
Cd 112.41 Cd.upf
Sn 118.71 Sn.upf
Bi 208.98 Bi.upf
O 16.00 O.upf
CELL_PARAMETERS angstrom
-3.067 5.048 -0.350
-5.854 -0.147 -0.849
-3.688 1.542 4.539
ATOMIC_POSITIONS crystal
Cd 0.801 0.801 0.598
Sn 0.315 0.315 0.056
Bi 0.526 0.526 0.421
Bi 0.023 0.023 0.932
O 0.596 0.179 0.244
O 0.179 0.981 0.244
O 0.981 0.596 0.244
O 0.440 0.666 0.759
O 0.666 0.135 0.759
O 0.135 0.440 0.759

(6)
! SrCd2BiO6 PBE relaxed; values from VASP
! **Spin magnetization**: 1.077 μB/f.u.
! **DFT total energy**: -4.9392 eV per atom
! **DOS at the Fermi energy**: 14.6 states/eV per cell
! **Space-group type**: No. 14
! **Raw formation energy**: -1.225 eV/atom
&SYSTEM
  ibrav = 0, nat = 20, ntyp = 4
/
ATOMIC_SPECIES
Sr 87.62 Sr.upf
Cd 112.41 Cd.upf
Bi 208.98 Bi.upf
O 16.00 O.upf
CELL_PARAMETERS angstrom
5.986 0.000 0.002
0.000 6.056 0.000
0.058 0.000 8.451
ATOMIC_POSITIONS crystal
Sr 0.500 0.000 0.000
Sr 0.000 0.500 0.500
Cd 0.987 0.975 0.279
Cd 0.487 0.525 0.779
Cd 0.013 0.025 0.721
Cd 0.513 0.475 0.221
Bi 0.500 0.000 0.500
Bi 0.000 0.500 0.000
O 0.317 0.649 0.030
O 0.817 0.851 0.530
O 0.683 0.351 0.970
O 0.183 0.149 0.470
O 0.350 0.711 0.391
O 0.850 0.789 0.891
O 0.650 0.289 0.609
O 0.150 0.211 0.109
O 0.875 0.626 0.221
O 0.375 0.874 0.721
O 0.125 0.374 0.779
O 0.625 0.126 0.279

(7)
! Sr2CdBiO6 PBE relaxed; values from VASP
! **Spin magnetization**: 1.059 μB/f.u.
! **DFT total energy**: -5.4387 eV per atom
! **DOS at the Fermi energy**: 17.0 states/eV per cell
! **Space-group type**: No. 14
! **Raw formation energy**: -1.648 eV/atom
&SYSTEM
  ibrav = 0, nat = 20, ntyp = 4
/
ATOMIC_SPECIES
Sr 87.62 Sr.upf
Cd 112.41 Cd.upf
Bi 208.98 Bi.upf
O 16.00 O.upf
CELL_PARAMETERS angstrom
5.967 0.000 0.021
0.000 6.134 0.000
0.084 0.000 8.407
ATOMIC_POSITIONS crystal
Sr 0.016 0.947 0.253
Sr 0.516 0.553 0.753
Sr 0.984 0.053 0.747
Sr 0.484 0.447 0.247
Cd 0.500 0.000 0.000
Cd 0.000 0.500 0.500
Bi 0.500 0.000 0.500
Bi 0.000 0.500 0.000
O 0.288 0.696 0.051
O 0.788 0.804 0.551
O 0.712 0.304 0.949
O 0.212 0.196 0.449
O 0.306 0.718 0.439
O 0.806 0.782 0.939
O 0.694 0.282 0.561
O 0.194 0.218 0.061
O 0.893 0.545 0.242
O 0.393 0.955 0.742
O 0.107 0.455 0.758
O 0.607 0.045 0.258

(8)
! SrCd2BiO4 PBE relaxed; values from VASP
! **Spin magnetization**: 0.000 μB/f.u.
! **DFT total energy**: -4.7149 eV per atom
! **DOS at the Fermi energy**: 2.6 states/eV per cell
! **Space-group type**: No. 119
! **Raw formation energy**: -1.312 eV/atom
&SYSTEM
  ibrav = 0, nat = 8, ntyp = 4
/
ATOMIC_SPECIES
Sr 87.62 Sr.upf
Cd 112.41 Cd.upf
Bi 208.98 Bi.upf
O 16.00 O.upf
CELL_PARAMETERS angstrom
5.003 0.001 0.000
-0.004 5.003 0.000
-2.499 -2.502 5.149
ATOMIC_POSITIONS crystal
Sr 0.500 0.500 0.000
Cd 0.250 0.750 0.500
Cd 0.000 0.000 0.000
Bi 0.750 0.250 0.500
O 0.983 0.483 0.965
O 0.517 0.017 0.035
O 0.755 0.755 0.511
O 0.245 0.245 0.489

(9)
! SrCdBiO4 PBE relaxed; values from VASP
! **Spin magnetization**: 0.000 μB/f.u.
! **DFT total energy**: -5.3079 eV per atom
! **DOS at the Fermi energy**: 3.0 states/eV per cell
! **Space-group type**: No. 74
! **Raw formation energy**: -1.549 eV/atom
&SYSTEM
  ibrav = 0, nat = 14, ntyp = 4
/
ATOMIC_SPECIES
Sr 87.62 Sr.upf
Cd 112.41 Cd.upf
Bi 208.98 Bi.upf
O 16.00 O.upf
CELL_PARAMETERS angstrom
7.011 0.000 0.000
-3.505 6.036 -0.478
0.000 -3.684 6.058
ATOMIC_POSITIONS crystal
Sr 0.864 0.728 0.114
Sr 0.136 0.272 0.886
Cd 0.500 0.500 0.500
Cd 0.000 0.500 0.500
Bi 0.500 0.000 0.500
Bi 0.500 0.000 0.000
O 0.727 0.455 0.698
O 0.291 0.001 0.250
O 0.710 0.001 0.250
O 0.727 0.455 0.256
O 0.273 0.545 0.744
O 0.709 0.999 0.750
O 0.290 0.999 0.750
O 0.273 0.545 0.302

(10)
! TaCdBi2O6 PBE relaxed; values from VASP
! **Spin magnetization**: 0.000 μB/f.u.
! **DFT total energy**: -6.6406 eV per atom
! **DOS at the Fermi energy**: 2.1 states/eV per cell
! **Space-group type**: No. 146
! **Raw formation energy**: -1.613 eV/atom
&SYSTEM
  ibrav = 0, nat = 10, ntyp = 4
/
ATOMIC_SPECIES
Ta 180.95 Ta.upf
Cd 112.41 Cd.upf
Bi 208.98 Bi.upf
O 16.00 O.upf
CELL_PARAMETERS angstrom
6.016 0.002 0.000
-3.006 5.211 -0.002
-3.007 -1.739 4.641
ATOMIC_POSITIONS crystal
Ta 0.027 0.013 0.026
Cd 0.016 0.507 0.509
Bi 0.565 0.782 0.334
Bi 0.506 0.253 0.746
O 0.537 0.874 0.703
O 0.457 0.125 0.193
O 0.878 0.751 0.194
O 0.082 0.331 0.194
O 0.842 0.662 0.702
O 0.055 0.179 0.702

(11)
! TbCd2BiO6 PBE relaxed; values from VASP
! **Spin magnetization**: 0.000 μB/f.u.
! **DFT total energy**: -5.6315 eV per atom
! **Space-group type**: No. 146
! **Raw formation energy**: -1.622 eV/atom
&SYSTEM
  ibrav = 0, nat = 10, ntyp = 4
/
ATOMIC_SPECIES
Tb 158.93 Tb.upf
Cd 112.41 Cd.upf
Bi 208.98 Bi.upf
O 16.00 O.upf
CELL_PARAMETERS angstrom
5.770 0.000 0.000
2.885 4.997 0.000
2.885 1.666 5.061
ATOMIC_POSITIONS crystal
Tb 0.812 0.812 0.565
Cd 0.535 0.535 0.395
Cd 0.031 0.031 0.907
Bi 0.317 0.317 0.048
O 0.588 0.200 0.260
O 0.200 0.952 0.260
O 0.952 0.588 0.260
O 0.430 0.687 0.773
O 0.687 0.110 0.773
O 0.110 0.430 0.773

(12)
! CdTcBi2O6 PBE relaxed; values from VASP
! **Spin magnetization**: 3.000 μB/f.u.
! **DFT total energy**: -6.0710 eV per atom
! **Space-group type**: No. 146
! **Raw formation energy**: -1.192 eV/atom
&SYSTEM
  ibrav = 0, nat = 10, ntyp = 4
/
ATOMIC_SPECIES
Cd 112.41 Cd.upf
Tc 98.00 Tc.upf
Bi 208.98 Bi.upf
O 16.00 O.upf
CELL_PARAMETERS angstrom
5.856 0.000 0.000
2.929 5.072 0.000
2.928 1.691 4.898
ATOMIC_POSITIONS crystal
Cd 0.801 0.801 0.596
Tc 0.318 0.318 0.045
Bi 0.531 0.531 0.408
Bi 0.024 0.024 0.928
O 0.587 0.183 0.245
O 0.183 0.985 0.245
O 0.985 0.587 0.245
O 0.439 0.661 0.767
O 0.661 0.132 0.768
O 0.132 0.439 0.768